1.
Material: Pb2CF
Method: DFT, PBE
State: relaxed

Output
**ρ**: 10.386 Mg/m³
**Crystal system**: cubic

CIF file:
```
data_Pb2CF
_chemical_formula_sum 'Pb8 C4 F4'
_space_group_name_H-M_alt 'F m -3 m'
_space_group_IT_number 225
_space_group_name_Hall '-F 4 2 3'
_cell_length_a 6.580
_cell_length_b 6.580
_cell_length_c 6.580
_cell_angle_alpha 90.00
_cell_angle_beta 90.00
_cell_angle_gamma 90.00
loop_
_atom_site_label
_atom_site_fract_x
_atom_site_fract_y
_atom_site_fract_z
Pb1 0.250 0.250 0.250
C1 0.000 0.000 0.000
F1 0.000 0.000 0.500
```

***

2.
Material: Pb2C2F
Method: DFT, PBE
State: relaxed

Output
**ρ**: 8.595 Mg/m³
**Crystal system**: tetragonal

CIF file:
```
data_Pb2C2F
_chemical_formula_sum 'Pb4 C4 F2'
_space_group_name_H-M_alt 'I 4/m m m'
_space_group_IT_number 139
_space_group_name_Hall '-I 4 2'
_cell_length_a 4.794
_cell_length_b 4.794
_cell_length_c 7.690
_cell_angle_alpha 90.00
_cell_angle_beta 90.00
_cell_angle_gamma 90.00
loop_
_atom_site_label
_atom_site_fract_x
_atom_site_fract_y
_atom_site_fract_z
Pb1 0.000 0.500 0.250
C1 0.000 0.000 0.085
F1 0.000 0.000 0.500
```

***

3.
Material: Pb2C2F
Method: DFT, PBE
State: relaxed

Output
**ρ**: 8.137 Mg/m³
**Crystal system**: tetragonal

CIF file:
```
data_Pb2C2F
_chemical_formula_sum 'Pb4 C4 F2'
_space_group_name_H-M_alt 'P 4/m b m'
_space_group_IT_number 127
_space_group_name_Hall '-P 4 2ab'
_cell_length_a 7.216
_cell_length_b 7.216
_cell_length_c 3.586
_cell_angle_alpha 90.00
_cell_angle_beta 90.00
_cell_angle_gamma 90.00
loop_
_atom_site_label
_atom_site_fract_x
_atom_site_fract_y
_atom_site_fract_z
Pb1 0.232 0.268 0.000
C1 0.062 0.438 0.500
F1 0.000 0.000 0.500
```

***

4.
Material: Pb2CF
Method: DFT, PBE
State: relaxed

Output
**ρ**: 7.707 Mg/m³
**Crystal system**: tetragonal

CIF file:
```
data_Pb2CF
_chemical_formula_sum 'Pb8 C4 F4'
_space_group_name_H-M_alt 'I -4 2 d'
_space_group_IT_number 122
_space_group_name_Hall 'I -4 2bw'
_cell_length_a 5.928
_cell_length_b 5.928
_cell_length_c 10.923
_cell_angle_alpha 90.00
_cell_angle_beta 90.00
_cell_angle_gamma 90.00
loop_
_atom_site_label
_atom_site_fract_x
_atom_site_fract_y
_atom_site_fract_z
Pb1 0.222 0.250 0.125
C1 0.000 0.000 0.000
F1 0.000 0.000 0.500
```

***

5.
Material: PbC3F
Method: DFT, PBE
State: relaxed

Output
**ρ**: 6.733 Mg/m³
**Crystal system**: cubic

CIF file:
```
data_PbC3F
_chemical_formula_sum 'Pb1 C3 F1'
_space_group_name_H-M_alt 'P m -3 m'
_space_group_IT_number 221
_space_group_name_Hall '-P 4 2 3'
_cell_length_a 4.014
_cell_length_b 4.014
_cell_length_c 4.014
_cell_angle_alpha 90.00
_cell_angle_beta 90.00
_cell_angle_gamma 90.00
loop_
_atom_site_label
_atom_site_fract_x
_atom_site_fract_y
_atom_site_fract_z
Pb1 0.000 0.000 0.000
C1 0.000 0.500 0.500
F1 0.500 0.500 0.500
```

***

6.
Material: Pb3CF
Method: DFT, PBE
State: relaxed

Output
**ρ**: 8.414 Mg/m³
**Crystal system**: cubic

CIF file:
```
data_Pb3CF
_chemical_formula_sum 'Pb3 C1 F1'
_space_group_name_H-M_alt 'P m -3 m'
_space_group_IT_number 221
_space_group_name_Hall '-P 4 2 3'
_cell_length_a 5.050
_cell_length_b 5.050
_cell_length_c 5.050
_cell_angle_alpha 90.00
_cell_angle_beta 90.00
_cell_angle_gamma 90.00
loop_
_atom_site_label
_atom_site_fract_x
_atom_site_fract_y
_atom_site_fract_z
Pb1 0.000 0.000 0.500
C1 0.000 0.000 0.000
F1 0.500 0.500 0.500
```

***

7.
Material: PbCF3
Method: DFT, PBE
State: relaxed

Output
**ρ**: 4.784 Mg/m³
**Crystal system**: cubic

CIF file:
```
data_PbCF3
_chemical_formula_sum 'Pb1 C1 F3'
_space_group_name_H-M_alt 'P m -3 m'
_space_group_IT_number 221
_space_group_name_Hall '-P 4 2 3'
_cell_length_a 4.577
_cell_length_b 4.577
_cell_length_c 4.577
_cell_angle_alpha 90.00
_cell_angle_beta 90.00
_cell_angle_gamma 90.00
loop_
_atom_site_label
_atom_site_fract_x
_atom_site_fract_y
_atom_site_fract_z
Pb1 0.000 0.000 0.000
C1 0.500 0.500 0.500
F1 0.000 0.000 0.500
```

***

8.
Material: PbC3F
Method: DFT, PBE
State: relaxed

Output
**ρ**: 4.510 Mg/m³
**Crystal system**: cubic

CIF file:
```
data_PbC3F
_chemical_formula_sum 'Pb1 C3 F1'
_space_group_name_H-M_alt 'P m -3 m'
_space_group_IT_number 221
_space_group_name_Hall '-P 4 2 3'
_cell_length_a 4.588
_cell_length_b 4.588
_cell_length_c 4.588
_cell_angle_alpha 90.00
_cell_angle_beta 90.00
_cell_angle_gamma 90.00
loop_
_atom_site_label
_atom_site_fract_x
_atom_site_fract_y
_atom_site_fract_z
Pb1 0.000 0.000 0.000
C1 0.000 0.000 0.500
F1 0.500 0.500 0.500
```

***

9.
Material: Rb2PbCF6
Method: DFT, PBE
State: relaxed

Output
**ρ**: 4.885 Mg/m³
**Crystal system**: cubic

CIF file:
```
data_Rb2PbCF6
_chemical_formula_sum 'Rb8 Pb4 C4 F24'
_space_group_name_H-M_alt 'F m -3 m'
_space_group_IT_number 225
_space_group_name_Hall '-F 4 2 3'
_cell_length_a 8.817
_cell_length_b 8.817
_cell_length_c 8.817
_cell_angle_alpha 90.00
_cell_angle_beta 90.00
_cell_angle_gamma 90.00
loop_
_atom_site_label
_atom_site_fract_x
_atom_site_fract_y
_atom_site_fract_z
Rb1 0.250 0.250 0.250
Pb1 0.000 0.000 0.000
C1 0.000 0.000 0.500
F1 0.000 0.000 0.274
```

***

10.
Material: Rh2PbCF
Method: DFT, PBE
State: relaxed

Output
**ρ**: 9.421 Mg/m³
**Crystal system**: tetragonal

CIF file:
```
data_Rh2PbCF
_chemical_formula_sum 'Rh2 Pb1 C1 F1'
_space_group_name_H-M_alt 'P 4/m m m'
_space_group_IT_number 123
_space_group_name_Hall '-P 4 2'
_cell_length_a 3.923
_cell_length_b 3.923
_cell_length_c 5.086
_cell_angle_alpha 90.00
_cell_angle_beta 90.00
_cell_angle_gamma 90.00
loop_
_atom_site_label
_atom_site_fract_x
_atom_site_fract_y
_atom_site_fract_z
Rh1 0.000 0.500 0.000
Pb1 0.000 0.000 0.500
C1 0.500 0.500 0.000
F1 0.500 0.500 0.500
```

***

11.
Material: TaPb2CF
Method: DFT, PBE
State: relaxed

Output
**ρ**: 8.297 Mg/m³
**Crystal system**: tetragonal

CIF file:
```
data_TaPb2CF
_chemical_formula_sum 'Ta1 Pb2 C1 F1'
_space_group_name_H-M_alt 'P 4/m m m'
_space_group_IT_number 123
_space_group_name_Hall '-P 4 2'
_cell_length_a 5.578
_cell_length_b 5.578
_cell_length_c 4.029
_cell_angle_alpha 90.00
_cell_angle_beta 90.00
_cell_angle_gamma 90.00
loop_
_atom_site_label
_atom_site_fract_x
_atom_site_fract_y
_atom_site_fract_z
Ta1 0.000 0.000 0.000
Pb1 0.000 0.500 0.000
C1 0.500 0.500 0.500
F1 0.000 0.000 0.500
```

***

12.
Material: TcPb2CF
Method: DFT, PBE
State: relaxed

Output
**ρ**: 8.638 Mg/m³
**Crystal system**: tetragonal

CIF file:
```
data_TcPb2CF
_chemical_formula_sum 'Tc1 Pb2 C1 F1'
_space_group_name_H-M_alt 'P 4/m m m'
_space_group_IT_number 123
_space_group_name_Hall '-P 4 2'
_cell_length_a 5.188
_cell_length_b 5.188
_cell_length_c 3.882
_cell_angle_alpha 90.00
_cell_angle_beta 90.00
_cell_angle_gamma 90.00
loop_
_atom_site_label
_atom_site_fract_x
_atom_site_fract_y
_atom_site_fract_z
Tc1 0.000 0.000 0.000
Pb1 0.000 0.500 0.500
C1 0.000 0.000 0.500
F1 0.500 0.500 0.000
```

***

Number 1: uncorrected energy -4.3166 eV per atom, M_tot 0.00 Bohr magnetons per cell. Number 2: uncorrected energy -5.3037 eV per atom, M_tot 0.00 Bohr magnetons per cell. Number 3: uncorrected energy -5.3251 eV per atom, M_tot 0.00 Bohr magnetons per cell. Number 4: uncorrected energy -4.4477 eV per atom, M_tot 0.00 Bohr magnetons per cell. Number 5: uncorrected energy -3.6364 eV per atom, M_tot 0.70 Bohr magnetons per cell. Number 6: uncorrected energy -3.9314 eV per atom, M_tot 0.00 Bohr magnetons per cell. Number 7: uncorrected energy -3.8366 eV per atom, M_tot 1.66 Bohr magnetons per cell. Number 8: uncorrected energy -3.2672 eV per atom, M_tot 3.92 Bohr magnetons per cell. Number 9: uncorrected energy -4.2675 eV per atom, M_tot 0.00 Bohr magnetons per cell. Number 10: uncorrected energy -6.0667 eV per atom, M_tot 0.00 Bohr magnetons per cell. Number 11: uncorrected energy -5.0824 eV per atom, M_tot 0.60 Bohr magnetons per cell. Number 12: uncorrected energy -5.3754 eV per atom, M_tot 0.00 Bohr magnetons per cell.